[1]
Material: GaHgI3
Method: DFT, PBEsol
State: optimized geometry

Summary:
The calculation puts the total magnetic moment at 0.001 μB/f.u. For the density, the calculation gives 6.4 g cm⁻³. The calculation puts the energy relative to the elements, uncorrected at -106.6 meV per atom. The crystal system is cubic. For the total energy, the calculation gives -1.95 eV/atom.

Geometry as POSCAR:
```
GaHgI3
1.0
5.5265 0.0000 0.0000
0.0000 5.5265 0.0000
0.0000 0.0000 5.5265
Ga Hg I
1 1 3
direct
0.0000 0.0000 0.0000 Ga
0.5000 0.5000 0.5000 Hg
0.0000 0.0000 0.5000 I
0.0000 0.5000 0.0000 I
0.5000 0.0000 0.0000 I
```

***

[2]
Material: Ga3HgI
Method: DFT, PBEsol
State: optimized geometry

Summary:
The calculation puts the total magnetic moment at 0.000 μB/f.u. For the density, the calculation gives 6.3 g cm⁻³. The calculation puts the energy relative to the elements, uncorrected at 193.9 meV per atom. The crystal system is cubic. For the total energy, the calculation gives -2.28 eV/atom.

Geometry as POSCAR:
```
Ga3HgI
1.0
5.2028 0.0000 0.0000
0.0000 5.2028 0.0000
0.0000 0.0000 5.2028
Ga Hg I
3 1 1
direct
0.0000 0.0000 0.5000 Ga
0.0000 0.5000 0.0000 Ga
0.5000 0.0000 0.0000 Ga
0.0000 0.0000 0.0000 Hg
0.5000 0.5000 0.5000 I
```

***

[3]
Material: InGa2Hg
Method: DFT, PBEsol
State: optimized geometry

Summary:
The calculation puts the total magnetic moment at 0.000 μB/f.u. For the energy relative to the elements, the calculation gives 0.057 eV per atom. For the density, the calculation gives 8.9 g cm⁻³. The crystal system is cubic. For the total energy, the calculation gives -2.50 eV/atom.

Geometry as POSCAR:
```
InGa2Hg
1.0
6.9673 0.0000 0.0000
0.0000 6.9673 0.0000
0.0000 0.0000 6.9673
In Ga Hg
4 8 4
direct
0.0000 0.0000 0.0000 In
0.0000 0.5000 0.5000 In
0.5000 0.0000 0.5000 In
0.5000 0.5000 0.0000 In
0.2500 0.2500 0.2500 Ga
0.2500 0.2500 0.7500 Ga
0.2500 0.7500 0.2500 Ga
0.2500 0.7500 0.7500 Ga
0.7500 0.2500 0.2500 Ga
0.7500 0.2500 0.7500 Ga
0.7500 0.7500 0.2500 Ga
0.7500 0.7500 0.7500 Ga
0.0000 0.0000 0.5000 Hg
0.0000 0.5000 0.0000 Hg
0.5000 0.0000 0.0000 Hg
0.5000 0.5000 0.5000 Hg
```

***

[4]
Material: In2GaHg
Method: DFT, PBEsol
State: optimized geometry

Summary:
The calculation puts the total magnetic moment at 0.000 μB/f.u. For the energy relative to the elements, the calculation gives 0.058 eV per atom. For the density, the calculation gives 8.8 g cm⁻³. The crystal system is tetragonal. For the total energy, the calculation gives -2.41 eV/atom.

Geometry as POSCAR:
```
In2GaHg
1.0
4.2343 0.0000 0.0000
0.0000 4.2343 0.0000
0.0000 0.0000 21.0869
In Ga Hg
8 4 4
direct
0.2472 0.2500 0.1250 In
0.2500 0.7472 0.3750 In
0.2500 0.7528 0.8750 In
0.2528 0.2500 0.6250 In
0.7472 0.7500 0.6250 In
0.7500 0.2472 0.8750 In
0.7500 0.2528 0.3750 In
0.7528 0.7500 0.1250 In
0.0000 0.0000 0.0000 Ga
0.0000 0.5000 0.2500 Ga
0.5000 0.0000 0.7500 Ga
0.5000 0.5000 0.5000 Ga
0.0000 0.0000 0.5000 Hg
0.0000 0.5000 0.7500 Hg
0.5000 0.0000 0.2500 Hg
0.5000 0.5000 0.0000 Hg
```

***

[5]
Material: InGa2Hg
Method: DFT, PBEsol
State: optimized geometry

Summary:
The calculation puts the total magnetic moment at 0.000 μB/f.u. For the energy relative to the elements, the calculation gives 0.073 eV per atom. For the density, the calculation gives 8.6 g cm⁻³. The crystal system is tetragonal. For the total energy, the calculation gives -2.48 eV/atom.

Geometry as POSCAR:
```
InGa2Hg
1.0
7.7682 0.0000 0.0000
0.0000 7.7682 0.0000
0.0000 0.0000 5.8330
In Ga Hg
4 8 4
direct
0.0000 0.0000 0.0000 In
0.0000 0.5000 0.2500 In
0.5000 0.0000 0.7500 In
0.5000 0.5000 0.5000 In
0.2404 0.2500 0.6250 Ga
0.2500 0.7404 0.8750 Ga
0.2500 0.7596 0.3750 Ga
0.2596 0.2500 0.1250 Ga
0.7404 0.7500 0.1250 Ga
0.7500 0.2404 0.3750 Ga
0.7500 0.2596 0.8750 Ga
0.7596 0.7500 0.6250 Ga
0.0000 0.0000 0.5000 Hg
0.0000 0.5000 0.7500 Hg
0.5000 0.0000 0.2500 Hg
0.5000 0.5000 0.0000 Hg
```

***

[6]
Material: In2GaHg2
Method: DFT, PBEsol
State: optimized geometry

Summary:
The calculation puts the total magnetic moment at 0.000 μB/f.u. For the energy relative to the elements, the calculation gives 0.137 eV per atom. For the density, the calculation gives 9.3 g cm⁻³. The crystal system is tetragonal. For the total energy, the calculation gives -1.95 eV/atom.

Geometry as POSCAR:
```
In2GaHg2
1.0
4.2830 0.0000 0.0000
0.0000 4.2830 0.0000
0.0000 0.0000 13.6714
In Ga Hg
4 2 4
direct
0.0000 0.5000 0.2500 In
0.0000 0.5000 0.7500 In
0.5000 0.0000 0.2500 In
0.5000 0.0000 0.7500 In
0.0000 0.0000 0.0000 Ga
0.5000 0.5000 0.5000 Ga
0.0000 0.0000 0.4002 Hg
0.0000 0.0000 0.5998 Hg
0.5000 0.5000 0.0998 Hg
0.5000 0.5000 0.9002 Hg
```

***

[7]
Material: In2GaHg2
Method: DFT, PBEsol
State: optimized geometry

Summary:
The calculation puts the total magnetic moment at 0.000 μB/f.u. For the energy relative to the elements, the calculation gives 0.062 eV per atom. For the density, the calculation gives 9.7 g cm⁻³. The crystal system is tetragonal. For the total energy, the calculation gives -2.03 eV/atom.

Geometry as POSCAR:
```
In2GaHg2
1.0
7.3854 0.0000 0.0000
0.0000 7.3854 0.0000
0.0000 0.0000 4.3976
In Ga Hg
4 2 4
direct
0.1653 0.3347 0.0000 In
0.3347 0.8347 0.0000 In
0.6653 0.1653 0.0000 In
0.8347 0.6653 0.0000 In
0.0000 0.0000 0.5000 Ga
0.5000 0.5000 0.5000 Ga
0.1433 0.6433 0.5000 Hg
0.3567 0.1433 0.5000 Hg
0.6433 0.8567 0.5000 Hg
0.8567 0.3567 0.5000 Hg
```

***

[8]
Material: LiInGaHg2
Method: DFT, PBEsol
State: optimized geometry

Summary:
The calculation puts the total magnetic moment at 0.000 μB/f.u. For the energy relative to the elements, the calculation gives 0.164 eV per atom. For the density, the calculation gives 7.0 g cm⁻³. The crystal system is tetragonal. For the total energy, the calculation gives -1.72 eV/atom.

Geometry as POSCAR:
```
LiInGaHg2
1.0
5.1271 0.0000 0.0000
0.0000 5.1271 0.0000
0.0000 0.0000 5.3720
Li In Ga Hg
1 1 1 2
direct
0.0000 0.0000 0.0000 Li
0.5000 0.5000 0.0000 In
0.5000 0.5000 0.5000 Ga
0.0000 0.5000 0.5000 Hg
0.5000 0.0000 0.5000 Hg
```

***

[9]
Material: Ga3HgIr
Method: DFT, PBEsol
State: optimized geometry

Summary:
The calculation puts the total magnetic moment at 0.000 μB/f.u. For the energy relative to the elements, the calculation gives -0.200 eV per atom. For the density, the calculation gives 9.1 g cm⁻³. The crystal system is cubic. For the total energy, the calculation gives -4.28 eV/atom.

Geometry as POSCAR:
```
Ga3HgIr
1.0
4.7885 0.0000 0.0000
0.0000 4.7885 0.0000
0.0000 0.0000 4.7885
Ga Hg Ir
3 1 1
direct
0.0000 0.0000 0.5000 Ga
0.0000 0.5000 0.0000 Ga
0.5000 0.0000 0.0000 Ga
0.5000 0.5000 0.5000 Hg
0.0000 0.0000 0.0000 Ir
```

***

[10]
Material: Ga2HgIr2
Method: DFT, PBEsol
State: optimized geometry

Summary:
The calculation puts the total magnetic moment at 0.000 μB/f.u. For the energy relative to the elements, the calculation gives -0.262 eV per atom. For the density, the calculation gives 15.5 g cm⁻³. The crystal system is tetragonal. For the total energy, the calculation gives -5.64 eV/atom.

Geometry as POSCAR:
```
Ga2HgIr2
1.0
7.2967 0.0000 0.0000
0.0000 7.2967 0.0000
0.0000 0.0000 2.9226
Ga Hg Ir
4 2 4
direct
0.1477 0.3523 0.0000 Ga
0.3523 0.8523 0.0000 Ga
0.6477 0.1477 0.0000 Ga
0.8523 0.6477 0.0000 Ga
0.0000 0.0000 0.5000 Hg
0.5000 0.5000 0.5000 Hg
0.1483 0.6483 0.5000 Ir
0.3517 0.1483 0.5000 Ir
0.6483 0.8517 0.5000 Ir
0.8517 0.3517 0.5000 Ir
```

***

[11]
Material: GaHg3Ir
Method: DFT, PBEsol
State: optimized geometry

Summary:
The calculation puts the total magnetic moment at 1.481 μB/f.u. For the energy relative to the elements, the calculation gives 1.204 eV per atom. For the density, the calculation gives 12.1 g cm⁻³. The crystal system is cubic. For the total energy, the calculation gives -1.77 eV/atom.

Geometry as POSCAR:
```
GaHg3Ir
1.0
4.9107 0.0000 0.0000
0.0000 4.9107 0.0000
0.0000 0.0000 4.9107
Ga Hg Ir
1 3 1
direct
0.0000 0.0000 0.0000 Ga
0.0000 0.0000 0.5000 Hg
0.0000 0.5000 0.0000 Hg
0.5000 0.0000 0.0000 Hg
0.5000 0.5000 0.5000 Ir
```

***

[12]
Material: K3GaHg
Method: DFT, PBEsol
State: optimized geometry

Summary:
The calculation puts the total magnetic moment at 0.000 μB/f.u. For the energy relative to the elements, the calculation gives 0.273 eV per atom. For the density, the calculation gives 2.5 g cm⁻³. The crystal system is cubic. For the total energy, the calculation gives -1.19 eV/atom.

Geometry as POSCAR:
```
K3GaHg
1.0
6.3565 0.0000 0.0000
0.0000 6.3565 0.0000
0.0000 0.0000 6.3565
K Ga Hg
3 1 1
direct
0.0000 0.0000 0.5000 K
0.0000 0.5000 0.0000 K
0.5000 0.0000 0.0000 K
0.5000 0.5000 0.5000 Ga
0.0000 0.0000 0.0000 Hg
```

***

[13]
Material: KGaHg3
Method: DFT, PBEsol
State: optimized geometry

Summary:
The calculation puts the total magnetic moment at 0.000 μB/f.u. For the energy relative to the elements, the calculation gives -0.086 eV per atom. For the density, the calculation gives 8.1 g cm⁻³. The crystal system is cubic. For the total energy, the calculation gives -1.32 eV/atom.

Geometry as POSCAR:
```
KGaHg3
1.0
5.2646 0.0000 0.0000
0.0000 5.2646 0.0000
0.0000 0.0000 5.2646
K Ga Hg
1 1 3
direct
0.0000 0.0000 0.0000 K
0.5000 0.5000 0.5000 Ga
0.0000 0.5000 0.5000 Hg
0.5000 0.0000 0.5000 Hg
0.5000 0.5000 0.0000 Hg
```